NdGeAs | PBE | relaxed Values from VASP.

```
&SYSTEM
  ibrav = 0, nat = 3, ntyp = 3
/
ATOMIC_SPECIES
Nd 144.24 Nd.upf
As 74.92 As.upf
Ge 72.64 Ge.upf
CELL_PARAMETERS angstrom
0.000 3.473 3.473
3.473 0.000 3.473
3.473 3.473 0.000
ATOMIC_POSITIONS crystal
Nd 0.000 0.000 0.000
As 0.250 0.250 0.250
Ge 0.750 0.750 0.750
```

Output
Space group ... No. 216
Total DFT energy (no corrections) ... -4.904 eV/atom
Crystal system ... cubic
Mass density ... 5.78 Mg/m³